Computed, not measured: crystalline TbReSi at its relaxed geometry at the PBE-GGA level of DFT.

Cell lengths 6.2216, 6.2216, 6.2216 Å; angles 90.00, 90.00, 90.00 degrees
Space group F-43m (No. 216)
Inequivalent atoms, fractional coordinates:
Tb 0.0000 0.0000 0.0000
Re 0.0000 0.0000 0.5000
Si 0.2500 0.2500 0.7500

E_tot: -88.3 eV for the cell shown
V: 20.1 A^3/atom
Magnetization: 0.00 μB per atom

Computed, not measured: crystalline ReSiTe4 at its relaxed geometry at the PBE-GGA level of DFT.

Cell lengths 3.9606, 15.9185, 10.3857 Å; angles 90.00, 90.00, 90.00 degrees
Space group Cmc2_1 (No. 36)
Inequivalent atoms, fractional coordinates:
Re 0.0000 0.1557 0.0000
Si 0.0000 0.2641 0.1767
Te 0.0000 0.1265 0.7241
Te 0.0000 0.2325 0.4281
Te 0.0000 0.3772 0.6883
Te 0.0000 0.4672 0.4414

E_tot: -118.2 eV for the cell shown
V: 27.3 A^3/atom
Magnetization: 0.00 μB per atom

Computed, not measured: crystalline ThRe4Si2 at its relaxed geometry at the PBE-GGA level of DFT.

Cell lengths 7.2627, 15.6337, 4.1645 Å; angles 90.00, 90.00, 90.00 degrees
Space group Pnnm (No. 58)
Inequivalent atoms, fractional coordinates:
Th 0.0851 0.1184 0.0000
Re 0.0034 0.7058 0.5000
Re 0.0693 0.5806 0.0000
Re 0.1410 0.4488 0.5000
Re 0.2383 0.3214 0.0000
Si 0.1714 0.9753 0.5000
Si 0.1978 0.7273 0.0000

E_tot: -285.7 eV for the cell shown
V: 16.9 A^3/atom
Magnetization: 0.00 μB per atom

Computed, not measured: crystalline TlRe3Si5 at its relaxed geometry at the PBE-GGA level of DFT.

Cell lengths 5.3495, 5.3495, 6.3296 Å; angles 90.00, 90.00, 120.00 degrees
Space group P6/mmm (No. 191)
Inequivalent atoms, fractional coordinates:
Tl 0.0000 0.0000 0.0000
Re 0.0000 0.5000 0.5000
Si 0.0000 0.0000 0.5000
Si 0.3333 0.6667 0.1852

E_tot: -64.2 eV for the cell shown
V: 17.4 A^3/atom
Magnetization: 0.00 μB per atom

Computed, not measured: crystalline TmRe2Si2 at its relaxed geometry at the PBE-GGA level of DFT.

Cell lengths 4.0420, 4.0420, 10.3520 Å; angles 90.00, 90.00, 90.00 degrees
Space group I4/mmm (No. 139)
Inequivalent atoms, fractional coordinates:
Tm 0.0000 0.0000 0.0000
Re 0.0000 0.5000 0.2500
Si 0.0000 0.0000 0.3838

E_tot: -84.8 eV for the cell shown
V: 16.9 A^3/atom
Magnetization: 0.00 μB per atom

Computed, not measured: crystalline UReSi at its relaxed geometry at the PBE-GGA level of DFT.

Cell lengths 6.3294, 6.3294, 6.3294 Å; angles 90.00, 90.00, 90.00 degrees
Space group F-43m (No. 216)
Inequivalent atoms, fractional coordinates:
U 0.0000 0.0000 0.0000
Re 0.2500 0.2500 0.7500
Si 0.2500 0.2500 0.2500

E_tot: -105.4 eV for the cell shown
V: 21.1 A^3/atom
Magnetization: 0.01 μB per atom

Computed, not measured: crystalline U5Re5Si9 at its relaxed geometry at the PBE-GGA level of DFT.

Cell lengths 16.2680, 16.2680, 5.6177 Å; angles 90.00, 90.00, 120.00 degrees
Space group P6_3/m (No. 176)
Inequivalent atoms, fractional coordinates:
U 0.0073 0.8828 0.2500
U 0.0346 0.6852 0.2500
U 0.1609 0.4730 0.2500
U 0.3333 0.6667 0.7500
Re 0.0000 0.5000 0.0000
Re 0.0290 0.7904 0.7500
Re 0.2053 0.7816 0.7500
Re 0.3333 0.6667 0.2500
Si 0.0417 0.6435 0.7500
Si 0.1226 0.2905 0.0271
Si 0.1331 0.5099 0.7500
Si 0.1778 0.6493 0.0307

E_tot: -698.7 eV for the cell shown
V: 16.9 A^3/atom
Magnetization: 0.37 μB per atom

Computed, not measured: crystalline U2Re3Si5 at its relaxed geometry at the PBE-GGA level of DFT.

Cell lengths 10.9071, 10.9071, 5.4699 Å; angles 90.00, 90.00, 90.00 degrees
Space group P4/mnc (No. 128)
Inequivalent atoms, fractional coordinates:
U 0.0728 0.2357 0.0000
Re 0.0000 0.5000 0.2500
Re 0.1233 0.8585 0.5000
Si 0.0000 0.0000 0.2218
Si 0.0259 0.3150 0.5000
Si 0.1750 0.6750 0.2500

E_tot: -363.7 eV for the cell shown
V: 16.3 A^3/atom
Magnetization: 0.30 μB per atom

Computed, not measured: crystalline UReSi at its relaxed geometry at the PBE-GGA level of DFT.

Cell lengths 6.2605, 6.2605, 6.2605 Å; angles 90.00, 90.00, 90.00 degrees
Space group F-43m (No. 216)
Inequivalent atoms, fractional coordinates:
U 0.0000 0.0000 0.0000
Re 0.2500 0.2500 0.2500
Si 0.0000 0.0000 0.5000

E_tot: -113.4 eV for the cell shown
V: 20.4 A^3/atom
Magnetization: 0.75 μB per atom

Computed, not measured: crystalline YReSi2 at its relaxed geometry at the PBE-GGA level of DFT.

Cell lengths 6.4659, 6.4659, 6.4659 Å; angles 90.00, 90.00, 90.00 degrees
Space group F-43m (No. 216)
Inequivalent atoms, fractional coordinates:
Y 0.0000 0.0000 0.0000
Re 0.2500 0.2500 0.7500
Si 0.0000 0.0000 0.5000
Si 0.2500 0.2500 0.2500

E_tot: -113.4 eV for the cell shown
V: 16.9 A^3/atom
Magnetization: 0.01 μB per atom

Computed, not measured: crystalline Y2ReSi at its relaxed geometry at the PBE-GGA level of DFT.

Cell lengths 6.7722, 6.7722, 6.7722 Å; angles 90.00, 90.00, 90.00 degrees
Space group F-43m (No. 216)
Inequivalent atoms, fractional coordinates:
Y 0.0000 0.0000 0.0000
Y 0.2500 0.2500 0.2500
Re 0.2500 0.2500 0.7500
Si 0.0000 0.0000 0.5000

E_tot: -121.1 eV for the cell shown
V: 19.4 A^3/atom
Magnetization: 0.00 μB per atom

Computed, not measured: crystalline Y2Re3Si5 at its relaxed geometry at the PBE-GGA level of DFT.

Cell lengths 10.9930, 10.9930, 5.5326 Å; angles 90.00, 90.00, 90.00 degrees
Space group P4/mnc (No. 128)
Inequivalent atoms, fractional coordinates:
Y 0.0780 0.2373 0.0000
Re 0.0000 0.5000 0.2500
Re 0.1235 0.8526 0.5000
Si 0.0000 0.0000 0.2432
Si 0.0280 0.3143 0.5000
Si 0.1721 0.6721 0.2500

E_tot: -332.6 eV for the cell shown
V: 16.7 A^3/atom
Magnetization: 0.00 μB per atom